The following is a DFT calculation (PBE) of a relaxed LaLuTc crystal. Values from VASP.

Values from the calculation:
The space-group type is F-43m (216). As for the formation energy: 0.384 eV/f.u. For the uncorrected energy, the calculation gives -19.4 eV per cell.

Quantum ESPRESSO input file:
```
&SYSTEM
  ibrav = 0, nat = 3, ntyp = 3
/
ATOMIC_SPECIES
La 138.91 La.upf
Lu 174.97 Lu.upf
Tc 98.00 Tc.upf
CELL_PARAMETERS angstrom
0.000 3.417 3.417
3.417 0.000 3.417
3.417 3.417 0.000
ATOMIC_POSITIONS crystal
La 0.250 0.250 0.250
Lu 0.750 0.750 0.750
Tc 0.000 0.000 0.000
```